First-principles (PBE) data for a geometry-optimized Dy5Sc4 structure, as listed in Alexandria.

Unit cell a=11.3313 b=10.2588 c=4.8189 alpha=90.00 beta=115.09 gamma=90.00
With the nearest neighbours (Å) after each atom.
Space group C2/m (No. 12)
Asymmetric unit:
Dy  0.0000  0.0000  0.0000 (multiplicity 2)  4 Dy 3.37, 8 Sc 3.41
Dy  0.0000  0.3287  0.0000 (multiplicity 4)  6 Dy 3.37-3.51, 6 Sc 3.39-3.42
Dy  0.1713  0.5000  0.6712 (multiplicity 4)  6 Dy 3.37-3.52, 6 Sc 3.39-3.42
Sc  0.1666  0.1666  0.6664 (multiplicity 8)  8 Dy 3.39-3.42, 4 Sc 3.41-3.42

- energy of formation from the pure elements (eV/f.u.) = 0.47
- M_tot (μB per atom) = 0.0000